First-principles (GGA-PBE) data for a geometry-optimized SmZr2TaO8 structure, as listed in Alexandria via LeMat-Bulk.

a = 4.954 Å, b = 6.678 Å, c = 4.957 Å
α = 90.00°, β = 90.82°, γ = 90.00°
Atoms (fractional coordinates):
Sm 0.000 0.000 0.000
Zr 0.500 0.252 0.500
Zr 0.500 0.748 0.500
Ta 0.000 0.500 0.000
O 0.197 0.283 0.196
O 0.197 0.717 0.196
O 0.293 0.500 0.707
O 0.320 0.000 0.678
O 0.680 0.000 0.322
O 0.707 0.500 0.293
O 0.803 0.283 0.804
O 0.803 0.717 0.804

Output
* formation energy (no corrections): -3.20 eV per atom
* DOS at the Fermi energy: 0.000 states/eV/atom